Compound: Tm2ScTl
Source: the Alexandria database
Functional: PBE-GGA
Structure: relaxed

a = 10.856 Å, b = 10.856 Å, c = 10.856 Å
α = 18.35°, β = 18.35°, γ = 18.35°
Fractional coordinates of all 4 atoms:
Tm (0.250, 0.250, 0.250)
Tm (0.750, 0.750, 0.750)
Sc (0.500, 0.500, 0.500)
Tl (0.000, 0.000, 0.000)

## Properties
Space-group type: R-3m (166)
Formation energy from the elements (meV per atom): -89
Energy relative to the lowest polymorph listed for this composition (meV/atom): 91
Volume (Å³ per cell): 110.8
DOS(E_F) (states/eV/f.u.): 4.381